Entry 1:
This record from the Alexandria database describes an optimized crystal structure of Ba2BeZn. The functional is GGA-PBE.

Results
Calculated density ... 4.43 g cm⁻³
Energy relative to the lowest polymorph listed for this composition ... 0.0 meV per atom
Raw total energy ... -2.100 eV per atom
SG ... Pm (6)
V ... 32.68 Å³ per atom

a b c (Å): 4.478 5.465 6.005
angles (deg): 62.84 90.00 90.00
Positions (direct):
Ba1 0.000 0.969 0.937
Ba2 0.500 0.281 0.312
Be1 0.000 0.649 0.579
Zn1 0.500 0.601 0.672


Entry 2:
This record from the Alexandria database describes an optimized crystal structure of Ba2BeZn. The functional is GGA-PBE.

Results
Calculated density ... 4.42 g cm⁻³
Energy relative to the lowest polymorph listed for this composition ... 122.3 meV per atom
Raw total energy ... -1.977 eV per atom
SG ... P4/mmm (123)
V ... 32.82 Å³ per atom

a b c (Å): 5.712 5.712 4.024
angles (deg): 90.00 90.00 90.00
Positions (direct):
Zn1 0.000 0.500 0.500
Ba1 0.000 0.000 0.000
Ba2 0.500 0.500 0.000
Be1 0.500 0.000 0.500


Entry 3:
This record from the Alexandria database describes an optimized crystal structure of Ba2BeZn. The functional is GGA-PBE.

Results
Calculated density ... 3.72 g cm⁻³
Energy relative to the lowest polymorph listed for this composition ... 316.9 meV per atom
Raw total energy ... -1.783 eV per atom
SG ... R-3m (166)
V ... 38.92 Å³ per atom

a b c (Å): 9.388 9.388 9.388
angles (deg): 27.50 27.50 27.50
Positions (direct):
Zn1 0.750 0.750 0.750
Ba1 0.995 0.995 0.995
Ba2 0.505 0.505 0.505
Be1 0.250 0.250 0.250